(1)
The following is a DFT calculation (GGA-PBEsol) of a relaxed structure of MgTcP.

Values from the calculation:
Space-group type: I4mm
Formation energy, eV/atom: -0.502
Size of the total moment, μB/f.u.: 0.0

a b c (Å): 5.109 5.109 5.109
angles (deg): 144.95 144.95 50.41
Sites, in units of the cell vectors:
1 Mg 0.000 0.000 0.000
2 Tc 0.300 0.300 0.000
3 P 0.694 0.694 0.000

(2)
The following is a DFT calculation (GGA-PBEsol) of a relaxed structure of TaFe2Re.

Values from the calculation:
Space-group type: Pm
Formation energy, eV/atom: 0.018
Size of the total moment, μB/f.u.: 4.2

a b c (Å): 2.615 4.239 4.949
angles (deg): 90.00 99.03 90.00
Sites, in units of the cell vectors:
1 Ta 0.000 0.000 0.000
2 Fe 0.522 0.000 0.487
3 Fe 0.722 0.500 0.246
4 Re 0.250 0.500 0.716

(3)
The following is a DFT calculation (GGA-PBEsol) of a relaxed structure of NbCr3.

Values from the calculation:
Space-group type: Pm-3m
Formation energy, eV/atom: 0.539
Size of the total moment, μB/f.u.: 1.4

a b c (Å): 3.755 3.755 3.755
angles (deg): 90.00 90.00 90.00
Sites, in units of the cell vectors:
1 Nb 0.000 0.000 0.000
2 Cr 0.000 0.500 0.500
3 Cr 0.500 0.000 0.500
4 Cr 0.500 0.500 0.000

(4)
The following is a DFT calculation (GGA-PBEsol) of a relaxed structure of NaSnPS2.

Values from the calculation:
Space-group type: P4/mmm
Size of the total moment, μB/f.u.: 1.1
Formation energy from raw total energies, eV/atom: 0.1922

a b c (Å): 5.080 5.080 4.983
angles (deg): 90.00 90.00 90.00
Sites, in units of the cell vectors:
1 Na 0.000 0.000 0.000
2 Sn 0.500 0.500 0.500
3 P 0.500 0.500 0.000
4 S 0.000 0.500 0.500
5 S 0.500 0.000 0.500

(5)
The following is a DFT calculation (GGA-PBEsol) of a relaxed structure of KTa2Ni.

Values from the calculation:
Space-group type: R-3m
Formation energy, eV/atom: 0.700
Size of the total moment, μB/f.u.: 0.0
E above lowest polymorph, kJ per mole of atoms: 17.1

a b c (Å): 10.733 10.733 10.733
angles (deg): 15.40 15.40 15.40
Sites, in units of the cell vectors:
1 K 0.000 0.000 0.000
2 Ta 0.231 0.231 0.231
3 Ta 0.769 0.769 0.769
4 Ni 0.500 0.500 0.500

(6)
The following is a DFT calculation (GGA-PBEsol) of a relaxed structure of HfTi3Zn.

Values from the calculation:
Space-group type: Pm-3m
Formation energy, eV/atom: 1.268
Size of the total moment, μB/f.u.: 0.1
E above lowest polymorph, kJ per mole of atoms: 49.6

a b c (Å): 4.747 4.747 4.747
angles (deg): 90.00 90.00 90.00
Sites, in units of the cell vectors:
1 Hf 0.000 0.000 0.000
2 Ti 0.000 0.000 0.500
3 Ti 0.000 0.500 0.000
4 Ti 0.500 0.000 0.000
5 Zn 0.500 0.500 0.500

(7)
The following is a DFT calculation (GGA-PBEsol) of a relaxed structure of Ba2PrIrO6.

Values from the calculation:
Space-group type: Fm-3m
Size of the total moment, μB/f.u.: 2.0
Formation energy from raw total energies, eV/atom: -2.2847

a b c (Å): 6.024 6.024 6.024
angles (deg): 60.00 60.00 60.00
Sites, in units of the cell vectors:
1 Ba 0.250 0.250 0.250
2 Ba 0.750 0.750 0.750
3 Pr 0.000 0.000 0.000
4 Ir 0.500 0.500 0.500
5 O 0.270 0.270 0.730
6 O 0.270 0.730 0.270
7 O 0.270 0.730 0.730
8 O 0.730 0.270 0.270
9 O 0.730 0.270 0.730
10 O 0.730 0.730 0.270

(8)
The following is a DFT calculation (GGA-PBEsol) of a relaxed structure of NdBrO.

Values from the calculation:
Space-group type: P4/nmm
Size of the total moment, μB/f.u.: 0.0
Formation energy from raw total energies, eV/atom: -2.8997

a b c (Å): 4.031 4.031 7.347
angles (deg): 90.00 90.00 90.00
Sites, in units of the cell vectors:
1 Nd 0.250 0.250 0.159
2 Nd 0.750 0.750 0.841
3 Br 0.250 0.250 0.637
4 Br 0.750 0.750 0.363
5 O 0.250 0.750 0.000
6 O 0.750 0.250 0.000

What are the E values for these records? In order: -6.76 -10.93 -9.85 -3.85 -7.40 -6.14 -7.36 -7.00 eV per atom.